# 1
A relaxed structure of ZrPa3Ge5, computed with PBE.

Output
- space group = No. 193
- D(E_F) (states/eV/cell) = 13.6
- E_form (kJ/mol of formula units) = -530.6
- calculated volume (Å³ per atom) = 21.229
- magnetization (μB/atom) = 0.000

Geometry as CIF:
```
data_ZrPa3Ge5
_space_group_name_H-M_alt 'P 1'
_space_group_IT_number 1
_cell_length_a 8.6631
_cell_length_b 8.6631
_cell_length_c 5.8792
_cell_angle_alpha 90.00
_cell_angle_beta 90.00
_cell_angle_gamma 120.00
loop_
_space_group_symop_operation_xyz
'x,y,z'
loop_
_atom_site_label
_atom_site_fract_x
_atom_site_fract_y
_atom_site_fract_z
Zr1 0.0000 0.0000 0.0000
Zr2 0.0000 0.0000 0.5000
Pa1 0.0000 0.3833 0.2500
Pa2 0.0000 0.6167 0.7500
Pa3 0.3833 0.0000 0.2500
Pa4 0.3833 0.3833 0.7500
Pa5 0.6167 0.0000 0.7500
Pa6 0.6167 0.6167 0.2500
Ge1 0.0000 0.2738 0.7500
Ge2 0.0000 0.7262 0.2500
Ge3 0.2738 0.0000 0.7500
Ge4 0.2738 0.2738 0.2500
Ge5 0.3333 0.6667 0.0000
Ge6 0.3333 0.6667 0.5000
Ge7 0.6667 0.3333 0.0000
Ge8 0.6667 0.3333 0.5000
Ge9 0.7262 0.0000 0.2500
Ge10 0.7262 0.7262 0.7500
```

# 2
A relaxed structure of ZrPaGe, computed with PBE.

Output
- space group = No. 129
- D(E_F) (states/eV/cell) = 6.9
- E_form (kJ/mol of formula units) = -147.8
- calculated volume (Å³ per atom) = 21.481
- magnetization (μB/atom) = 0.000
- energy relative to the lowest polymorph listed for this composition (meV per atom) = 0

Geometry as CIF:
```
data_ZrPaGe
_space_group_name_H-M_alt 'P 1'
_space_group_IT_number 1
_cell_length_a 3.9727
_cell_length_b 3.9727
_cell_length_c 8.1667
_cell_angle_alpha 90.00
_cell_angle_beta 90.00
_cell_angle_gamma 90.00
loop_
_space_group_symop_operation_xyz
'x,y,z'
loop_
_atom_site_label
_atom_site_fract_x
_atom_site_fract_y
_atom_site_fract_z
Zr1 0.2500 0.2500 0.1367
Zr2 0.7500 0.7500 0.8633
Pa1 0.2500 0.7500 0.5000
Pa2 0.7500 0.2500 0.5000
Ge1 0.2500 0.2500 0.7923
Ge2 0.7500 0.7500 0.2077
```

# 3
A relaxed structure of ZrPa2Ge, computed with PBE.

Output
- space group = No. 123
- D(E_F) (states/eV/cell) = 5.6
- E_form (kJ/mol of formula units) = -117.3
- calculated volume (Å³ per atom) = 21.938
- magnetization (μB/atom) = 0.000
- energy relative to the lowest polymorph listed for this composition (meV per atom) = 0

Geometry as CIF:
```
data_ZrPa2Ge
_space_group_name_H-M_alt 'P 1'
_space_group_IT_number 1
_cell_length_a 4.2769
_cell_length_b 4.2769
_cell_length_c 4.7973
_cell_angle_alpha 90.00
_cell_angle_beta 90.00
_cell_angle_gamma 90.00
loop_
_space_group_symop_operation_xyz
'x,y,z'
loop_
_atom_site_label
_atom_site_fract_x
_atom_site_fract_y
_atom_site_fract_z
Zr1 0.0000 0.0000 0.0000
Pa1 0.0000 0.5000 0.5000
Pa2 0.5000 0.0000 0.5000
Ge1 0.5000 0.5000 0.0000
```

Question: The lowest calculated volume belongs to which entry?
Answer: ZrPa3Ge5

Question: Which formula does entry 2 have?
Answer: ZrPaGe

Question: Which of these has the highest calculated volume?
Answer: ZrPa2Ge

Question: The highest calculated volume belongs to which entry?
Answer: ZrPa2Ge